DFT (PBE-GGA) results for a relaxed structure of PaB2O6.

Unit cell a=4.2946 b=8.0100 c=8.0100 alpha=75.47 beta=58.21 gamma=58.21
Last column: magnetic moment on the atom in μB.
Atoms (fractional coordinates):
1 O 0.9685 0.2646 0.0410  0.09
2 O 0.9774 0.3919 0.2863  0.01
3 B 0.7275 0.3713 0.2261  -0.01
4 O 0.5383 0.4228 0.8094  0.35
5 O 0.0315 0.7354 0.9590  0.09
6 B 0.7725 0.7739 0.6287  -0.01
7 Pa 0.2500 0.2623 0.7377  -0.03
8 O 0.5226 0.7137 0.6081  0.01
9 O 0.4617 0.5772 0.1906  0.35
10 O 0.4774 0.2863 0.3919  0.01
11 O 0.5315 0.9590 0.7354  0.09
12 O 0.0226 0.6081 0.7137  0.01
13 B 0.2275 0.2261 0.3713  -0.01
14 O 0.0383 0.8094 0.4228  0.35
15 B 0.2725 0.6287 0.7739  -0.01
16 O 0.9617 0.1906 0.5772  0.35
17 O 0.4685 0.0410 0.2646  0.09
18 Pa 0.7500 0.7377 0.2623  -0.03

Results
- Formation energy without anion corrections: -2.5888 eV per atom
- Relative energy among the computed polymorphs: 0.0 meV per atom
- Space group: C2/c


DFT (PBE-GGA) results for a relaxed structure of FeSnHgGe2.

Unit cell a=4.5951 b=4.5951 c=5.1420 alpha=90.00 beta=90.00 gamma=90.00
Last column: magnetic moment on the atom in μB.
Atoms (fractional coordinates):
1 Hg 0.5000 0.5000 0.5000  0.01
2 Sn 0.0000 0.0000 0.5000  0.01
3 Ge 0.5000 0.0000 0.0000  0.00
4 Ge 0.0000 0.5000 0.0000  0.00
5 Fe 0.0000 0.0000 0.0000  1.28

Results
- Energy of formation: 0.1354 eV/atom
- Space group: P4/mmm


DFT (PBE-GGA) results for a relaxed structure of Li2HPt2.

Unit cell a=5.3832 b=5.3832 c=4.3342 alpha=90.00 beta=90.00 gamma=90.00
Atoms (fractional coordinates):
1 H 0.5000 0.5000 0.0000
2 Pt 0.8219 0.6781 0.0000
3 Li 0.1570 0.6570 0.5000
4 Pt 0.1781 0.3219 0.0000
5 Pt 0.3219 0.8219 0.0000
6 Li 0.6570 0.8430 0.5000
7 Li 0.3430 0.1570 0.5000
8 Li 0.8430 0.3430 0.5000
9 Pt 0.6781 0.1781 0.0000
10 H 0.0000 0.0000 0.0000

Results
- VASP energy: -0.3103 Ry/atom
- Space group: P4/mbm


DFT (PBE-GGA) results for a relaxed structure of TlCd2In5.

Unit cell a=4.4477 b=7.4813 c=7.4813 alpha=75.19 beta=72.71 gamma=72.71
Atoms (fractional coordinates):
1 In 0.6438 0.1658 0.5465
2 Tl 0.0000 0.0000 0.0000
3 Cd 0.7184 0.7816 0.7816
4 In 0.3562 0.4535 0.8342
5 In 0.0000 0.5000 0.5000
6 In 0.6438 0.5465 0.1658
7 Cd 0.2816 0.2184 0.2184
8 In 0.3562 0.8342 0.4535

Results
- Energy of formation: 0.0566 eV/atom
- Space group: Immm


DFT (PBE-GGA) results for a relaxed structure of LiCeLuMg.

Unit cell a=5.3040 b=5.3040 c=5.3040 alpha=60.00 beta=60.00 gamma=60.00
Last column: magnetic moment on the atom in μB.
Atoms (fractional coordinates):
1 Li 0.0000 0.0000 0.0000  -0.01
2 Mg 0.5000 0.5000 0.5000  0.00
3 Ce 0.2500 0.2500 0.2500  -0.91
4 Lu 0.7500 0.7500 0.7500  -0.10

Results
- Energy of formation: 0.1339 eV/atom
- Space group: F-43m


DFT (PBE-GGA) results for a relaxed structure of TiV2NiPb.

Unit cell a=4.3618 b=5.2261 c=4.3618 alpha=90.00 beta=90.00 gamma=90.00
Last column: magnetic moment on the atom in μB.
Atoms (fractional coordinates):
1 Ti 0.0000 0.0000 0.0000  -0.08
2 V 0.5000 0.0000 0.0000  0.80
3 V 0.0000 0.0000 0.5000  0.63
4 Pb 0.0000 0.5000 0.0000  -0.01
5 Ni 0.5000 0.5000 0.5000  0.09

Results
- Energy of formation: 1.3154 eV/atom
- Space group: P4/mmm


DFT (PBE-GGA) results for a relaxed structure of LiYMnCo.

Unit cell a=4.5230 b=4.5230 c=4.5230 alpha=60.00 beta=60.00 gamma=60.00
Last column: magnetic moment on the atom in μB.
Atoms (fractional coordinates):
1 Mn 0.7500 0.7500 0.7500  3.50
2 Y 0.2500 0.2500 0.2500  -0.27
3 Li 0.0000 0.0000 0.0000  -0.07
4 Co 0.5000 0.5000 0.5000  0.87

Results
- Energy of formation: 0.1088 eV/atom
- Space group: F-43m


DFT (PBE-GGA) results for a relaxed structure of HfI3N.

Unit cell a=5.6959 b=5.6959 c=5.6959 alpha=90.00 beta=90.00 gamma=90.00
Last column: magnetic moment on the atom in μB.
Atoms (fractional coordinates):
1 Hf 0.0000 0.0000 0.0000  -0.03
2 I 0.0000 0.5000 0.0000  0.01
3 I 0.0000 0.0000 0.5000  0.02
4 I 0.5000 0.0000 0.0000  0.01
5 N 0.5000 0.5000 0.5000  1.89

Results
- Formation energy without anion corrections: 0.5802 eV per atom
- Relative energy among the computed polymorphs: 0.0 meV per atom
- Space group: Pm-3m


DFT (PBE-GGA) results for a relaxed structure of PrSm3Sc.

Unit cell a=6.6240 b=11.1567 c=11.1567 alpha=52.78 beta=86.25 gamma=86.25
Atoms (fractional coordinates):
1 Pr 0.7500 0.1013 0.8987
2 Sm 0.8959 0.3655 0.4815
3 Sm 0.9200 0.4171 0.9135
4 Sm 0.0800 0.5829 0.0865
5 Sm 0.9104 0.0476 0.2564
6 Sm 0.3959 0.4815 0.3655
7 Sm 0.5800 0.0865 0.5829
8 Pr 0.2500 0.8987 0.1013
9 Sc 0.6826 0.3491 0.2198
10 Sm 0.5896 0.7436 0.9524
11 Sm 0.4104 0.2564 0.0476
12 Sc 0.3174 0.6509 0.7802
13 Sc 0.8174 0.7802 0.6509
14 Sm 0.6041 0.5185 0.6345
15 Sm 0.0896 0.9524 0.7436
16 Sc 0.1826 0.2198 0.3491
17 Sm 0.4200 0.9135 0.4171
18 Pr 0.2500 0.2485 0.7515
19 Pr 0.7500 0.7515 0.2485
20 Sm 0.1041 0.6345 0.5185

Results
- Energy of formation: 0.0870 eV/atom
- Relative energy among the computed polymorphs: 45.3 meV per atom
- Space group: C2/c


DFT (PBE-GGA) results for a relaxed structure of K3PdSe2.

Unit cell a=8.1484 b=7.1014 c=8.5654 alpha=114.49 beta=118.40 gamma=90.00
Atoms (fractional coordinates):
1 K 0.3472 0.6761 0.3522
2 K 0.9950 0.8239 0.6478
3 Se 0.1129 0.4125 0.8249
4 K 0.5000 0.2500 0.0000
5 Se 0.2880 0.0875 0.1751
6 K 0.0050 0.1761 0.3522
7 Se 0.8871 0.5875 0.1751
8 Pd 0.0000 0.2500 0.0000
9 Se 0.7120 0.9125 0.8249
10 Pd 0.0000 0.7500 0.0000
11 K 0.6528 0.3239 0.6478
12 K 0.5000 0.7500 0.0000

Results
- Formation energy without anion corrections: -0.7213 eV per atom
- Space group: Ibam


DFT (PBE-GGA) results for a relaxed structure of BaCa2GaTe.

Unit cell a=6.4390 b=5.5094 c=6.4390 alpha=90.00 beta=90.00 gamma=90.00
Last column: magnetic moment on the atom in μB.
Atoms (fractional coordinates):
1 Ba 0.0000 0.0000 0.0000  0.31
2 Ga 0.0000 0.5000 0.0000  0.02
3 Ca 0.5000 0.0000 0.0000  0.10
4 Te 0.5000 0.5000 0.5000  0.01
5 Ca 0.0000 0.0000 0.5000  0.19

Results
- Formation energy without anion corrections: 0.7172 eV per atom
- Space group: P4/mmm


DFT (PBE-GGA) results for a relaxed structure of Ac4MgHg2.

Unit cell a=5.7066 b=5.7066 c=9.6303 alpha=72.77 beta=72.77 gamma=60.00
Atoms (fractional coordinates):
1 Ac 0.1303 0.1303 0.6090
2 Mg 0.0000 0.0000 0.0000
3 Hg 0.2562 0.2562 0.2313
4 Ac 0.3828 0.3828 0.8517
5 Ac 0.8697 0.8697 0.3910
6 Ac 0.6172 0.6172 0.1483
7 Hg 0.7438 0.7438 0.7687

Results
- Energy of formation: -0.2099 eV/atom
- Relative energy among the computed polymorphs: 0.0 meV per atom
- Space group: R-3m


DFT (PBE-GGA) results for a relaxed structure of Pm8Ga3Te4Se.

Unit cell a=8.6166 b=8.8896 c=8.6163 alpha=118.99 beta=120.00 gamma=90.00
Atoms (fractional coordinates):
1 Pm 0.2543 0.2630 0.5087
2 Pm 0.2444 0.7301 0.9856
3 Ga 0.0000 0.5000 0.5000
4 Pm 0.7556 0.2699 0.5111
5 Te 0.0000 0.0000 0.5000
6 Te 0.5000 0.0000 0.0000
7 Te 0.0000 0.0000 0.0000
8 Pm 0.7412 0.7301 0.9856
9 Ga 0.5000 0.5000 0.0000
10 Pm 0.7556 0.2699 0.0144
11 Te 0.5000 0.0000 0.5000
12 Pm 0.2444 0.7301 0.4889
13 Pm 0.2588 0.2699 0.0144
14 Pm 0.7457 0.7370 0.4913
15 Se 0.0000 0.5000 0.0000
16 Ga 0.5000 0.5000 0.5000

Results
- Formation energy without anion corrections: -1.1728 eV per atom
- Space group: R-3m


DFT (PBE-GGA) results for a relaxed structure of CdInBiCl6.

Unit cell a=7.0395 b=7.0395 c=13.8841 alpha=90.00 beta=90.00 gamma=120.00
Atoms (fractional coordinates):
1 Cd 0.3333 0.6667 0.2500
2 Cl 0.9925 0.6280 0.8607
3 Cl 0.6354 0.6280 0.6393
4 Cl 0.3721 0.3646 0.8607
5 Cl 0.6279 0.9925 0.3607
6 Cl 0.0075 0.3720 0.1393
7 In 0.0000 0.0000 0.5000
8 Cl 0.3646 0.9925 0.1393
9 Cl 0.9925 0.3646 0.6393
10 In 0.0000 0.0000 0.0000
11 Cl 0.0075 0.6354 0.3607
12 Cl 0.3646 0.3720 0.3607
13 Bi 0.3333 0.6667 0.7500
14 Cl 0.3721 0.0075 0.6393
15 Cd 0.6667 0.3333 0.7500
16 Cl 0.6354 0.0075 0.8607
17 Bi 0.6667 0.3333 0.2500
18 Cl 0.6279 0.6354 0.1393

Results
- Formation energy without anion corrections: -1.0035 eV per atom
- Space group: P-31c


DFT (PBE-GGA) results for a relaxed structure of Cd3OsO.

Unit cell a=4.4849 b=4.4849 c=4.4849 alpha=90.00 beta=90.00 gamma=90.00
Last column: magnetic moment on the atom in μB.
Atoms (fractional coordinates):
1 Cd 0.0000 0.5000 0.0000  -0.03
2 O 0.0000 0.0000 0.0000  -0.08
3 Cd 0.5000 0.0000 0.0000  -0.02
4 Cd 0.0000 0.0000 0.5000  -0.03
5 Os 0.5000 0.5000 0.5000  0.81

Results
- Formation energy without anion corrections: 0.4851 eV per atom
- Relative energy among the computed polymorphs: 0.0 meV per atom
- Space group: Pm-3m


DFT (PBE-GGA) results for a relaxed structure of VPdSe2.

Unit cell a=3.4998 b=6.3425 c=13.9326 alpha=90.00 beta=90.00 gamma=90.00
Last column: magnetic moment on the atom in μB.
Atoms (fractional coordinates):
1 V 0.7500 0.7484 0.9317  1.28
2 Pd 0.2500 0.5844 0.6258  -0.10
3 Se 0.7500 0.7743 0.3076  -0.10
4 Se 0.2500 0.7257 0.8076  -0.10
5 Pd 0.7500 0.9156 0.1258  -0.10
6 Se 0.2500 0.2257 0.6924  -0.10
7 Se 0.7500 0.3380 0.9396  -0.09
8 Pd 0.7500 0.4156 0.3742  -0.10
9 V 0.2500 0.7516 0.4317  1.28
10 Se 0.7500 0.2743 0.1924  -0.10
11 V 0.7500 0.2484 0.5683  1.28
12 Se 0.2500 0.1620 0.4396  -0.09
13 Se 0.7500 0.8380 0.5604  -0.09
14 V 0.2500 0.2516 0.0683  1.28
15 Pd 0.2500 0.0844 0.8742  -0.10
16 Se 0.2500 0.6620 0.0604  -0.09

Results
- Formation energy without anion corrections: -0.4429 eV per atom
- Space group: Pnma


DFT (PBE-GGA) results for a relaxed structure of ErScSb2O8.

Unit cell a=5.1434 b=5.1434 c=6.5698 alpha=113.04 beta=113.04 gamma=90.00
Atoms (fractional coordinates):
1 O 0.7873 0.8470 0.1767
2 Er 0.7500 0.2500 0.5000
3 O 0.5993 0.6535 0.6860
4 Sb 0.5000 0.5000 0.0000
5 Sc 0.0000 0.0000 0.0000
6 Sb 0.2500 0.7500 0.5000
7 O 0.3465 0.9133 0.3140
8 O 0.1530 0.6106 0.8233
9 O 0.6703 0.2127 0.8233
10 O 0.3894 0.3297 0.1767
11 O 0.9675 0.4007 0.3140
12 O 0.0867 0.0325 0.6860

Results
- Formation energy without anion corrections: -2.2825 eV per atom
- Space group: I-4


DFT (PBE-GGA) results for a relaxed structure of SrMg6Bi.

Unit cell a=7.0293 b=7.0293 c=5.2741 alpha=90.00 beta=90.00 gamma=124.07
Atoms (fractional coordinates):
1 Bi 0.3362 0.6638 0.5000
2 Mg 0.8287 0.6714 0.5000
3 Mg 0.6839 0.8160 0.0000
4 Mg 0.1840 0.3161 0.0000
5 Mg 0.6505 0.3495 0.0000
6 Sr 0.8238 0.1762 0.5000
7 Mg 0.3286 0.1713 0.5000
8 Mg 0.1644 0.8356 0.0000

Results
- Energy of formation: -0.0628 eV/atom
- Relative energy among the computed polymorphs: 0.0 meV per atom
- Space group: Amm2


DFT (PBE-GGA) results for a relaxed structure of ScTl2Fe.

Unit cell a=5.1314 b=5.1314 c=5.1314 alpha=128.22 beta=127.03 gamma=77.24
Last column: magnetic moment on the atom in μB.
Atoms (fractional coordinates):
1 Tl 0.9976 0.9976 0.0000  -0.04
2 Fe 0.7500 0.2500 0.5000  2.57
3 Sc 0.2500 0.7500 0.5000  -0.26
4 Tl 0.5024 0.5024 0.0000  -0.04

Results
- Energy of formation: 0.1967 eV/atom
- Relative energy among the computed polymorphs: 16.1 meV per atom
- Space group: Immm


DFT (PBE-GGA) results for a relaxed structure of Mn5Cl.

Unit cell a=2.8041 b=2.8041 c=10.3189 alpha=90.00 beta=90.00 gamma=90.00
Last column: magnetic moment on the atom in μB.
Atoms (fractional coordinates):
1 Cl 0.5000 0.5000 0.0000  0.07
2 Mn 0.5000 0.5000 0.3516  -1.58
3 Mn 0.0000 0.0000 0.1921  3.40
4 Mn 0.0000 0.0000 0.8079  3.40
5 Mn 0.0000 0.0000 0.5000  2.65
6 Mn 0.5000 0.5000 0.6484  -1.58

Results
- Formation energy without anion corrections: 0.2154 eV per atom
- Relative energy among the computed polymorphs: 0.0 meV per atom
- Space group: P4/mmm


DFT (PBE-GGA) results for a relaxed structure of MgUZn11.

Unit cell a=5.3399 b=6.8979 c=6.8117 alpha=81.27 beta=66.92 gamma=67.21
Last column: magnetic moment on the atom in μB.
Atoms (fractional coordinates):
1 Zn 0.0119 0.3494 0.6429  0.01
2 Zn 0.2813 0.2108 0.2165  0.00
3 Mg 0.5000 0.5000 0.0000  0.00
4 U 0.0000 0.0000 0.0000  2.50
5 Zn 0.9881 0.6506 0.3571  0.01
6 Zn 0.3452 0.6506 0.6429  0.01
7 Zn 0.5022 0.7892 0.2165  0.00
8 Zn 0.0000 0.0000 0.5000  0.00
9 Zn 0.7187 0.7892 0.7835  0.00
10 Zn 0.4978 0.2108 0.7835  0.00
11 Zn 0.0000 0.5000 0.0000  0.00
12 Zn 0.6548 0.3494 0.3571  0.01
13 Zn 0.5000 0.0000 0.5000  0.00

Results
- Energy of formation: -0.0196 eV/atom
- Space group: C2/m


DFT (PBE-GGA) results for a relaxed structure of ScFe2W2.

Unit cell a=7.2058 b=7.2058 c=2.8573 alpha=90.00 beta=90.00 gamma=90.00
Atoms (fractional coordinates):
1 Sc 0.0000 0.0000 0.0000
2 Fe 0.3705 0.8705 0.0000
3 W 0.8373 0.3373 0.5000
4 Sc 0.5000 0.5000 0.0000
5 W 0.6627 0.8373 0.5000
6 Fe 0.6295 0.1295 0.0000
7 Fe 0.8705 0.6295 0.0000
8 W 0.1627 0.6627 0.5000
9 W 0.3373 0.1627 0.5000
10 Fe 0.1295 0.3705 0.0000

Results
- Energy of formation: 0.1914 eV/atom
- Relative energy among the computed polymorphs: 0.0 meV per atom
- Space group: P4/mbm


DFT (PBE-GGA) results for a relaxed structure of VSnSb.

Unit cell a=3.0615 b=4.9203 c=4.9203 alpha=120.00 beta=90.00 gamma=90.00
Atoms (fractional coordinates):
1 Sn 0.1661 0.0000 0.0000
2 Sb 0.6672 0.6667 0.3333
3 V 0.1666 0.3333 0.6667

Results
- Formation energy without anion corrections: 0.4735 eV per atom
- Space group: P-6m2